(1)
DFT (PBE) results for a geometry-optimized Pm2SnS4 structure.

The structure belongs to space group C2/m (No. 12); the cell edges are 14.990, 4.112 and 7.155 Å and the angles 90.00°, 116.15° and 90.00°. The distinct sites, in fractional coordinates, are Pm at (0.222, 0.000, 0.215), Sn at (0.000, 0.500, 0.500), S at (0.131, 0.500, 0.941) and S at (0.145, 0.000, 0.509).

As for the uncorrected formation energy: -1.5268 eV/atom. For the calculated total energy, the calculation gives -5.814 eV/atom. Its density is 4.50 g cm⁻³.

(2)
DFT (PBE) results for a geometry-optimized Pm2SnS6 structure.

The structure belongs to space group P2_1/c (No. 14); the cell edges are 6.679, 7.352 and 10.390 Å and the angles 90.00°, 124.33° and 90.00°. The distinct sites, in fractional coordinates, are Pm at (0.205, 0.125, 0.239), Sn at (0.500, 0.000, 0.000), S at (0.113, 0.165, 0.929), S at (0.282, 0.678, 0.960) and S at (0.369, 0.014, 0.719).

As for the uncorrected formation energy: -1.0406 eV/atom. For the calculated total energy, the calculation gives -5.293 eV/atom. Its density is 4.74 g cm⁻³.

(3)
DFT (PBE) results for a geometry-optimized PmSnS3 structure.

The structure belongs to space group R-3 (No. 148, hexagonal axes); the cell edges are 7.0156, 7.0156 and 18.5265 Å and the angles 90.00°, 90.00° and 120.00°. The distinct sites, in fractional coordinates, are Pm at (0.0000, 0.0000, 0.1450), Sn at (0.0000, 0.0000, 0.3491) and S at (0.0075, 0.3007, 0.2524).

As for the uncorrected formation energy: -1.1106 eV/atom. For the calculated total energy, the calculation gives -5.338 eV/atom. Its energy relative to the lowest polymorph listed for this composition is 31 meV per atom. Its density is 4.54 g cm⁻³.

(4)
DFT (PBE) results for a geometry-optimized PmSnS2 structure.

The structure belongs to space group P1 (No. 1); the cell edges are 4.334, 5.491 and 9.729 Å and the angles 98.10°, 94.16° and 94.00°. The distinct sites, in fractional coordinates, are Pm at (0.000, 0.000, 0.000), Pm at (0.452, 0.435, 0.747), Sn at (0.163, 0.572, 0.339), Sn at (0.715, 0.918, 0.417), S at (0.466, 0.948, 0.800), S at (0.535, 0.046, 0.184), S at (0.914, 0.363, 0.546) and S at (0.989, 0.484, 0.936).

As for the uncorrected formation energy: -1.2591 eV/atom. For the calculated total energy, the calculation gives -5.511 eV/atom. Its density is 4.78 g cm⁻³.

Which value of calculated total energy does entry 2 give?
-5.293 eV/atom

Look up the calculated total energy of the fourth one.
-5.511 eV/atom